# PaTc2Hg | Alexandria | PBE | optimized geometry
# density	14.2	g cm⁻³
# calculated volume	73.6	Å³/f.u.
# crystal system	tetragonal
# DFT formation energy	4	meV per atom
# total moment	0.00	Bohr magnetons per cell
# E above lowest polymorph	0	meV per atom
data_PaTc2Hg
_chemical_formula_sum 'Pa1 Tc2 Hg1'
_symmetry_space_group_name_H-M 'P 4/m m m'
_symmetry_Int_Tables_number 123
_symmetry_space_group_name_Hall '-P 4 2'
_cell_length_a 4.447
_cell_length_b 4.447
_cell_length_c 3.722
_cell_angle_alpha 90.00
_cell_angle_beta 90.00
_cell_angle_gamma 90.00
loop_
_atom_site_label
_atom_site_fract_x
_atom_site_fract_y
_atom_site_fract_z
_atom_site_occupancy
Pa1 0.000 0.000 0.000 1
Tc1 0.000 0.500 0.500 1
Hg1 0.500 0.500 0.000 1



# LaTi3Ge | Alexandria | PBE | optimized geometry
# density	5.1	g cm⁻³
# calculated volume	116.5	Å³/f.u.
# crystal system	cubic
# DFT formation energy	282	meV per atom
# total moment	0.00	Bohr magnetons per cell
# E above lowest polymorph	0	meV per atom
data_LaTi3Ge
_chemical_formula_sum 'La1 Ti3 Ge1'
_symmetry_space_group_name_H-M 'P m -3 m'
_symmetry_Int_Tables_number 221
_symmetry_space_group_name_Hall '-P 4 2 3'
_cell_length_a 4.885
_cell_length_b 4.885
_cell_length_c 4.885
_cell_angle_alpha 90.00
_cell_angle_beta 90.00
_cell_angle_gamma 90.00
loop_
_atom_site_label
_atom_site_fract_x
_atom_site_fract_y
_atom_site_fract_z
_atom_site_occupancy
La1 0.000 0.000 0.000 1
Ti1 0.000 0.500 0.500 1
Ge1 0.500 0.500 0.500 1



# NiAg2Cl | Alexandria | PBE | optimized geometry
# density	7.3	g cm⁻³
# E_form (uncorrected)	172	meV per atom
# calculated volume	70.8	Å³/f.u.
# crystal system	tetragonal
# total moment	0.91	Bohr magnetons per cell
# E above lowest polymorph	124	meV per atom
data_NiAg2Cl
_chemical_formula_sum 'Ni1 Ag2 Cl1'
_symmetry_space_group_name_H-M 'P 4 m m'
_symmetry_Int_Tables_number 99
_cell_length_a 3.020
_cell_length_b 3.020
_cell_length_c 7.763
_cell_angle_alpha 90.00
_cell_angle_beta 90.00
_cell_angle_gamma 90.00
loop_
_symmetry_equiv_pos_as_xyz
'x,y,z'
'-y,x,z'
'-x,-y,z'
'y,-x,z'
'-x,y,z'
'y,x,z'
'x,-y,z'
'-y,-x,z'
loop_
_atom_site_label
_atom_site_fract_x
_atom_site_fract_y
_atom_site_fract_z
_atom_site_occupancy
Ni1 0.000 0.000 0.000 1
Ag1 0.000 0.000 0.490 1
Ag2 0.500 0.500 0.239 1
Cl1 0.500 0.500 0.844 1



# Cs2LiPCl | Alexandria | PBE | optimized geometry
# density	2.6	g cm⁻³
# E_form (uncorrected)	-139	meV per atom
# calculated volume	216.9	Å³/f.u.
# crystal system	tetragonal
# total moment	0.83	Bohr magnetons per cell
data_Cs2LiPCl
_chemical_formula_sum 'Cs2 Li1 P1 Cl1'
_symmetry_space_group_name_H-M 'P 4/m m m'
_symmetry_Int_Tables_number 123
_symmetry_space_group_name_Hall '-P 4 2'
_cell_length_a 6.540
_cell_length_b 6.540
_cell_length_c 5.070
_cell_angle_alpha 90.00
_cell_angle_beta 90.00
_cell_angle_gamma 90.00
loop_
_atom_site_label
_atom_site_fract_x
_atom_site_fract_y
_atom_site_fract_z
_atom_site_occupancy
Cs1 0.000 0.500 0.000 1
Li1 0.000 0.000 0.500 1
P1 0.500 0.500 0.500 1
Cl1 0.500 0.500 0.000 1



# AgSbRh2 | Alexandria | PBE | optimized geometry
# density	10.6	g cm⁻³
# E_form (uncorrected)	56	meV per atom
# calculated volume	68.2	Å³/f.u.
# crystal system	monoclinic
# total moment	0.00	Bohr magnetons per cell
# E above lowest polymorph	218	meV per atom
data_AgSbRh2
_chemical_formula_sum 'Ag1 Sb1 Rh2'
_symmetry_space_group_name_H-M 'P 1 2/m 1'
_symmetry_Int_Tables_number 10
_cell_length_a 4.573
_cell_length_b 3.156
_cell_length_c 5.083
_cell_angle_alpha 90.00
_cell_angle_beta 111.53
_cell_angle_gamma 90.00
loop_
_symmetry_equiv_pos_as_xyz
'x,y,z'
'-x,-y,-z'
'-x,y,-z'
'x,-y,z'
loop_
_atom_site_label
_atom_site_fract_x
_atom_site_fract_y
_atom_site_fract_z
_atom_site_occupancy
Ag1 0.000 0.000 0.000 1
Sb1 0.000 0.500 0.500 1
Rh1 0.500 0.000 0.500 1
Rh2 0.500 0.500 0.000 1



# FeB2H | Alexandria | PBE | optimized geometry
# density	5.0	g cm⁻³
# calculated volume	26.0	Å³/f.u.
# crystal system	tetragonal
# total moment	2.90	Bohr magnetons per cell
# E above lowest polymorph	0	meV per atom
data_FeB2H
_chemical_formula_sum 'Fe4 B8 H4'
_symmetry_space_group_name_H-M 'I -4 2 d'
_symmetry_Int_Tables_number 122
_symmetry_space_group_name_Hall 'I -4 2bw'
_cell_length_a 5.688
_cell_length_b 5.688
_cell_length_c 3.219
_cell_angle_alpha 90.00
_cell_angle_beta 90.00
_cell_angle_gamma 90.00
loop_
_atom_site_label
_atom_site_fract_x
_atom_site_fract_y
_atom_site_fract_z
_atom_site_occupancy
Fe1 0.000 0.000 0.000 1
B1 0.209 0.750 0.625 1
H1 0.000 0.000 0.500 1



# LaTb2Y9 | Alexandria | PBE | optimized geometry
# density	5.3	g cm⁻³
# calculated volume	391.7	Å³/f.u.
# crystal system	tetragonal
# DFT formation energy	28	meV per atom
# total moment	0.00	Bohr magnetons per cell
data_LaTb2Y9
_chemical_formula_sum 'La1 Tb2 Y9'
_symmetry_space_group_name_H-M 'P 4/m m m'
_symmetry_Int_Tables_number 123
_symmetry_space_group_name_Hall '-P 4 2'
_cell_length_a 5.071
_cell_length_b 5.071
_cell_length_c 15.232
_cell_angle_alpha 90.00
_cell_angle_beta 90.00
_cell_angle_gamma 90.00
loop_
_atom_site_label
_atom_site_fract_x
_atom_site_fract_y
_atom_site_fract_z
_atom_site_occupancy
La1 0.000 0.000 0.000 1
Tb1 0.000 0.000 0.334 1
Y1 0.000 0.500 0.170 1
Y2 0.000 0.500 0.500 1
Y3 0.500 0.500 0.000 1
Y4 0.500 0.500 0.336 1



# CsSnSb2Pb | Alexandria | PBE | optimized geometry
# density	4.9	g cm⁻³
# E_form (uncorrected)	-175	meV per atom
# calculated volume	236.2	Å³/f.u.
# crystal system	monoclinic
# total moment	0.00	Bohr magnetons per cell
data_CsSnSb2Pb
_chemical_formula_sum 'Cs4 Sn4 Sb8 Pb4'
_symmetry_space_group_name_H-M 'C 1 2/m 1'
_symmetry_Int_Tables_number 12
_cell_length_a 19.131
_cell_length_b 4.758
_cell_length_c 10.720
_cell_angle_alpha 90.00
_cell_angle_beta 104.50
_cell_angle_gamma 90.00
loop_
_symmetry_equiv_pos_as_xyz
'x,y,z'
'-x,-y,-z'
'-x,y,-z'
'x,-y,z'
'x+1/2,y+1/2,z'
'-x+1/2,-y+1/2,-z'
'-x+1/2,y+1/2,-z'
'x+1/2,-y+1/2,z'
loop_
_atom_site_label
_atom_site_fract_x
_atom_site_fract_y
_atom_site_fract_z
_atom_site_occupancy
Cs1 0.175 0.000 0.161 1
Sn1 0.068 0.500 0.660 1
Sb1 0.094 0.500 0.395 1
Sb2 0.145 0.000 0.791 1
Pb1 0.187 0.000 0.535 1



# Ce2SmTh4 | Alexandria | PBE | optimized geometry
# density	10.3	g cm⁻³
# calculated volume	219.7	Å³/f.u.
# crystal system	trigonal
# DFT formation energy	67	meV per atom
# total moment	0.00	Bohr magnetons per cell
data_Ce2SmTh4
_chemical_formula_sum 'Ce6 Sm3 Th12'
_symmetry_space_group_name_H-M 'R -3 m'
_symmetry_Int_Tables_number 166
_symmetry_space_group_name_Hall '-R 3 2"'
_cell_length_a 3.5442
_cell_length_b 3.5442
_cell_length_c 60.5965
_cell_angle_alpha 90.00
_cell_angle_beta 90.00
_cell_angle_gamma 120.00
loop_
_atom_site_label
_atom_site_fract_x
_atom_site_fract_y
_atom_site_fract_z
_atom_site_occupancy
Ce1 0.0000 0.0000 0.1893 1
Sm1 0.0000 0.0000 0.0000 1
Th1 0.0000 0.0000 0.0973 1
Th2 0.0000 0.0000 0.3830 1



# Ac3Ge7Ru2 | Alexandria | PBE | optimized geometry
# density	8.4	g cm⁻³
# calculated volume	274.6	Å³/f.u.
# crystal system	monoclinic
# DFT formation energy	-563	meV per atom
# total moment	0.00	Bohr magnetons per cell
data_Ac3Ge7Ru2
_chemical_formula_sum 'Ac3 Ge7 Ru2'
_symmetry_space_group_name_H-M 'P 1 2/m 1'
_symmetry_Int_Tables_number 10
_cell_length_a 4.525
_cell_length_b 4.556
_cell_length_c 13.510
_cell_angle_alpha 90.00
_cell_angle_beta 99.58
_cell_angle_gamma 90.00
loop_
_symmetry_equiv_pos_as_xyz
'x,y,z'
'-x,-y,-z'
'-x,y,-z'
'x,-y,z'
loop_
_atom_site_label
_atom_site_fract_x
_atom_site_fract_y
_atom_site_fract_z
_atom_site_occupancy
Ac1 0.000 0.000 0.000 1
Ac2 0.317 0.500 0.633 1
Ge1 0.089 0.500 0.177 1
Ge2 0.219 0.000 0.440 1
Ge3 0.412 0.000 0.824 1
Ge4 0.500 0.500 0.000 1
Ru1 0.127 0.000 0.254 1



# NbCd2NiPb | Alexandria | PBE | optimized geometry
# density	6.2	g cm⁻³
# calculated volume	156.8	Å³/f.u.
# crystal system	tetragonal
# DFT formation energy	1370	meV per atom
# total moment	0.01	Bohr magnetons per cell
data_NbCd2NiPb
_chemical_formula_sum 'Nb1 Cd2 Ni1 Pb1'
_symmetry_space_group_name_H-M 'P 4/m m m'
_symmetry_Int_Tables_number 123
_symmetry_space_group_name_Hall '-P 4 2'
_cell_length_a 5.382
_cell_length_b 5.382
_cell_length_c 5.412
_cell_angle_alpha 90.00
_cell_angle_beta 90.00
_cell_angle_gamma 90.00
loop_
_atom_site_label
_atom_site_fract_x
_atom_site_fract_y
_atom_site_fract_z
_atom_site_occupancy
Nb1 0.000 0.000 0.000 1
Cd1 0.000 0.500 0.000 1
Ni1 0.500 0.500 0.500 1
Pb1 0.000 0.000 0.500 1



# BaLiFeI2 | Alexandria | PBE | optimized geometry
# density	2.1	g cm⁻³
# E_form (uncorrected)	334	meV per atom
# calculated volume	355.3	Å³/f.u.
# crystal system	tetragonal
# total moment	3.79	Bohr magnetons per cell
data_BaLiFeI2
_chemical_formula_sum 'Ba1 Li1 Fe1 I2'
_symmetry_space_group_name_H-M 'P 4/m m m'
_symmetry_Int_Tables_number 123
_symmetry_space_group_name_Hall '-P 4 2'
_cell_length_a 6.541
_cell_length_b 6.541
_cell_length_c 8.303
_cell_angle_alpha 90.00
_cell_angle_beta 90.00
_cell_angle_gamma 90.00
loop_
_atom_site_label
_atom_site_fract_x
_atom_site_fract_y
_atom_site_fract_z
_atom_site_occupancy
Ba1 0.000 0.000 0.000 1
Li1 0.000 0.000 0.500 1
Fe1 0.500 0.500 0.500 1
I1 0.000 0.500 0.000 1